## La6Y5Tm (GGA-PBE)

Data for La6Y5Tm after structural relaxation.

a b c (Å): 5.260 9.974 15.733
angles (deg): 90.00 90.00 90.00
Space group Immm (No. 71)
Symmetry-distinct sites (fractional):
La: 0.000 0.248 0.000 (multiplicity 4)
La: 0.000 0.251 0.334 (multiplicity 8)
Y: 0.000 0.000 0.167 (multiplicity 4)
Y: 0.000 0.000 0.500 (multiplicity 2)
Y: 0.000 0.500 0.166 (multiplicity 4)
Tm: 0.000 0.500 0.500 (multiplicity 2)

energy of formation from the pure elements	0.02	eV per atom
crystal system	orthorhombic
D(E_F)	17.8	states/eV/f.u.